# 1
Here is a relaxed structure of HfReNiPb from OQMD. Energies are from PBE-GGA.

**Space group**: No. 216
**Crystal system**: cubic

Cell lengths 4.655, 4.655, 4.655 Å; angles 60.00, 60.00, 60.00 degrees
Fractional coordinates of all 4 atoms:
Hf 0.250 0.250 0.250
Ni 0.750 0.750 0.750
Pb 0.000 0.000 0.000
Re 0.500 0.500 0.500

# 2
Here is a relaxed structure of CuNiMoAs from OQMD. Energies are from PBE-GGA.

**Space group**: No. 216
**Crystal system**: cubic
**E above lowest polymorph**: 0 meV per atom

Cell lengths 4.245, 4.245, 4.245 Å; angles 60.00, 60.00, 60.00 degrees
Fractional coordinates of all 4 atoms:
As 0.000 0.000 0.000
Cu 0.750 0.750 0.750
Mo 0.250 0.250 0.250
Ni 0.500 0.500 0.500

# 3
Here is a relaxed structure of NaTaCdPd from OQMD. Energies are from PBE-GGA.

**Space group**: No. 216
**Crystal system**: cubic
**E above lowest polymorph**: 0 meV per atom

Cell lengths 4.634, 4.634, 4.634 Å; angles 60.00, 60.00, 60.00 degrees
Fractional coordinates of all 4 atoms:
Cd 0.500 0.500 0.500
Na 0.750 0.750 0.750
Pd 0.250 0.250 0.250
Ta 0.000 0.000 0.000

# 4
Here is a relaxed structure of SmRe from OQMD. Energies are from PBE-GGA.

**Space group**: No. 225
**Crystal system**: cubic
**E above lowest polymorph**: 530 meV per atom
**E_form**: 2.94 eV per formula unit

Cell lengths 4.155, 4.155, 4.155 Å; angles 60.00, 60.00, 60.00 degrees
Fractional coordinates of all 2 atoms:
Re 0.000 0.000 0.000
Sm 0.500 0.500 0.500

Going through the records in order, we get energy values of -29.39 -24.21 -18.00 -14.19 eV per cell.